# 1
Below is a relaxed CaPaZnPd crystal, with properties calculated at the PBE level.

Summary:
Energy relative to the elements = -0.165 eV/atom
M_tot = 0.000 μB/atom
DFT total energy = -4.656 eV/atom
SG = F-43m (216)

abc: 5.0117 5.0117 5.0117
angles: 60.00 60.00 60.00
Positions (direct):
Ca: 0.2500 0.2500 0.2500
Pd: 0.5000 0.5000 0.5000
Zn: 0.0000 0.0000 0.0000
Pa: 0.7500 0.7500 0.7500



# 2
Below is a relaxed Al2GaNi crystal, with properties calculated at the PBE level.

Summary:
Energy relative to the elements = -0.284 eV/atom
M_tot = 0.000 μB/atom
DFT total energy = -4.357 eV/atom
SG = P4/mmm (123)

abc: 2.8013 2.8013 7.5321
angles: 90.00 90.00 90.00
Positions (direct):
Al: 0.0000 0.0000 0.2045
Al: 0.0000 0.0000 0.7955
Ga: 0.5000 0.5000 0.5000
Ni: 0.5000 0.5000 0.0000



What did the first record say?
Below is a relaxed CaPaZnPd crystal, with properties calculated at the PBE level.

Summary:
Energy relative to the elements = -0.165 eV/atom
M_tot = 0.000 μB/atom
DFT total energy = -4.656 eV/atom
SG = F-43m (216)

abc: 5.0117 5.0117 5.0117
angles: 60.00 60.00 60.00
Positions (direct):
Ca: 0.2500 0.2500 0.2500
Pd: 0.5000 0.5000 0.5000
Zn: 0.0000 0.0000 0.0000
Pa: 0.7500 0.7500 0.7500



Repeat the second record exactly.
Below is a relaxed Al2GaNi crystal, with properties calculated at the PBE level.

Summary:
Energy relative to the elements = -0.284 eV/atom
M_tot = 0.000 μB/atom
DFT total energy = -4.357 eV/atom
SG = P4/mmm (123)

abc: 2.8013 2.8013 7.5321
angles: 90.00 90.00 90.00
Positions (direct):
Al: 0.0000 0.0000 0.2045
Al: 0.0000 0.0000 0.7955
Ga: 0.5000 0.5000 0.5000
Ni: 0.5000 0.5000 0.0000